Entry from the Alexandria database: a relaxed structure of CaCoRe2 (PBE).

```
12
Lattice="2.7829 0.0000 0.0000 -1.3915 2.4101 0.0000 0.0000 0.0000 28.2416" Properties=species:S:1:pos:R:3 pbc="T T T"
Ca 0.0000 0.0000 0.0000
Ca 0.0000 1.6067 18.8277
Ca 1.3915 0.8034 9.4139
Co 0.0000 0.0000 14.1208
Co 0.0000 1.6067 4.7069
Co 1.3915 0.8034 23.5346
Re 0.0000 0.0000 6.7291
Re 0.0000 0.0000 21.5125
Re 0.0000 1.6067 12.0986
Re 0.0000 1.6067 25.5569
Re 1.3915 0.8034 2.6847
Re 1.3915 0.8034 16.1430
```

Energy relative to the lowest polymorph listed for this composition (meV per atom): 313.8
M_tot (μB per atom): 0.17
Formation enthalpy at 0 K (eV per atom): 0.66